First-principles (meta-GGA SCAN) data for a PBEsol-optimized structure of RbSrYGe2, as listed in Alexandria.

Lattice parameters (Å, degrees): 5.356 5.591 5.591 90.00 90.00 90.00
Site moments in Bohr magnetons follow the coordinates.
Positions (direct):
1 Rb 0.000 0.000 0.000  0.01
2 Sr 0.500 0.000 0.000  0.08
3 Ge 0.000 0.000 0.500  -0.04
4 Ge 0.000 0.500 0.000  -0.04
5 Y 0.500 0.500 0.500  0.46

Output
The calculated density is 4.04 g/cm3. As for the energy: -103.72 eV/f.u. For the energy of formation from the pure elements, the calculation gives 5.3 eV per formula unit.